Record 1
First-principles (PBEsol) data for crystalline Ta2BeTc at its relaxed geometry, as listed in Alexandria via LeMat-Bulk.

Cell: 2.7284 2.7284 7.8228 Å, 90.00 90.00 90.00°
Last column: nearest neighbours and their distance in Å.
Positions (direct):
Ta1 0.0000 0.0000 0.0000  4 Be 2.62, 4 Ta 2.73
Ta2 0.5000 0.5000 0.3022  8 Ta 2.73-3.05, 4 Tc 2.92
Be1 0.5000 0.5000 0.7727  4 Tc 2.44, 4 Ta 2.62, 4 Be 2.73
Tc1 0.0000 0.0000 0.5821  4 Be 2.44, 4 Tc 2.73

Values from the calculation:
As for the density of states at the Fermi level: 4.70 states/eV per cell. The final energy comes out at -9.946 eV per atom. Its energy of formation is 0.15 eV/atom.

***

Record 2
First-principles (PBEsol) data for crystalline Ta3BeTc at its relaxed geometry, as listed in Alexandria via LeMat-Bulk.

Cell: 4.3230 4.3230 4.3230 Å, 90.00 90.00 90.00°
Last column: nearest neighbours and their distance in Å.
Positions (direct):
Ta1 0.0000 0.0000 0.5000  2 Be 2.16
Ta2 0.0000 0.5000 0.0000  2 Be 2.16
Ta3 0.5000 0.0000 0.0000  2 Be 2.16
Be1 0.0000 0.0000 0.0000  6 Ta 2.16
Tc1 0.5000 0.5000 0.5000  12 Ta 3.06

Values from the calculation:
As for the density of states at the Fermi level: 6.38 states/eV per cell. The final energy comes out at -9.840 eV per atom. Its energy of formation is 0.74 eV/atom.

***

no.,M_tot (μB per formula unit)
1,0.00
2,0.00